Compound: PuCoAuO6
Source: Alexandria
Functional: GGA+U
Structure: optimized geometry

a b c (Å): 5.153 5.153 9.666
angles (deg): 90.00 90.00 120.00
Fractional positions:
1 Pu 0.333 0.667 0.250
2 Pu 0.667 0.333 0.750
3 Co 0.667 0.333 0.250
4 Co 0.333 0.667 0.750
5 Au 0.000 0.000 0.000
6 Au 0.000 0.000 0.500
7 O 0.649 0.634 0.138
8 O 0.984 0.351 0.138
9 O 0.351 0.984 0.638
10 O 0.016 0.649 0.862
11 O 0.366 0.351 0.362
12 O 0.984 0.634 0.362
13 O 0.634 0.984 0.862
14 O 0.649 0.016 0.362
15 O 0.016 0.366 0.638
16 O 0.366 0.016 0.138
17 O 0.634 0.649 0.638
18 O 0.351 0.366 0.862

Summary:
DFT total energy = -7.060 eV per atom